(P)
A geometry-optimized ReC structure, computed with PBE.

Geometry as POSCAR:
```
ReC
1.0
2.6938 0.0000 0.0000
0.0000 2.6938 0.0000
0.0000 0.0000 2.6938
C Re
1 1
direct
0.0000 0.0000 0.0000
0.5000 0.5000 0.5000
```

Computed properties:
* magnetization: 0.00 μB/f.u.
* calculated volume: 20 Å³/f.u.
* SG: Pm-3m, No. 221

(Q)
A geometry-optimized ReC structure, computed with PBE.

Geometry as POSCAR:
```
ReC
1.0
-0.2539 2.6942 2.1969
-1.2012 -3.1343 0.9398
16.0179 -4.0827 6.8578
C Re
8 8
direct
0.0000 0.0000 0.1035
0.6667 0.3333 0.2302
0.3333 0.6667 0.3598
0.6667 0.3333 0.4787
0.0000 0.0000 0.6038
0.3333 0.6667 0.7304
0.6667 0.3333 0.8598
0.3333 0.6667 0.9786
0.6667 0.3333 0.1123
0.3333 0.6667 0.2446
0.6667 0.3333 0.3602
0.0000 0.0000 0.4864
0.3333 0.6667 0.6124
0.6667 0.3333 0.7446
0.3333 0.6667 0.8602
0.0000 0.0000 0.9863
```

Computed properties:
* magnetization: 0.00 μB/f.u.
* calculated volume: 24 Å³/f.u.
* SG: P6_3mc, No. 186

Winner for stability: (Q)